First-principles (GGA-PBEsol) data for a geometry-optimized K2ZrSe structure, as listed in Alexandria via LeMat-Bulk.

Summary:
raw formation energy = 0.1673 eV/atom
E = -14.54 eV/cell

Cell lengths 6.176, 6.176, 3.826 Å; angles 90.00, 90.00, 126.30 degrees
Fractional coordinates of all 4 atoms:
K 0.000 0.500 0.000
K 0.500 0.000 0.000
Zr 0.000 0.000 0.500
Se 0.500 0.500 0.500

***

First-principles (GGA-PBEsol) data for a geometry-optimized MnBe2Te structure, as listed in Alexandria via LeMat-Bulk.

Summary:
raw formation energy = 0.4264 eV/atom
E = -19.58 eV/cell

Cell lengths 2.868, 3.419, 5.876 Å; angles 90.00, 91.33, 90.00 degrees
Fractional coordinates of all 4 atoms:
Mn 0.000 0.000 0.000
Be 0.495 0.500 0.827
Be 0.505 0.500 0.173
Te 0.500 0.000 0.500

***

First-principles (GGA-PBEsol) data for a geometry-optimized U3Fe4Ge4 structure, as listed in Alexandria via LeMat-Bulk.

Summary:
E = -94.80 eV/cell

Cell lengths 7.769, 7.769, 7.769 Å; angles 150.66, 131.57, 57.64 degrees
Fractional coordinates of all 11 atoms:
U 0.000 0.000 0.000
U 0.361 0.861 0.500
U 0.639 0.139 0.500
Fe 0.039 0.325 0.714
Fe 0.389 0.675 0.714
Fe 0.611 0.325 0.286
Fe 0.961 0.675 0.286
Ge 0.205 0.205 0.000
Ge 0.305 0.500 0.805
Ge 0.695 0.500 0.195
Ge 0.795 0.795 0.000

***

First-principles (GGA-PBEsol) data for a geometry-optimized AlSBrN2 structure, as listed in Alexandria via LeMat-Bulk.

Summary:
raw formation energy = 0.8411 eV/atom
E = -23.19 eV/cell

Cell lengths 3.688, 3.688, 5.582 Å; angles 90.00, 90.00, 90.00 degrees
Fractional coordinates of all 5 atoms:
Al 0.000 0.000 0.000
S 0.000 0.000 0.500
Br 0.500 0.500 0.500
N 0.000 0.500 0.000
N 0.500 0.000 0.000

***

First-principles (GGA-PBEsol) data for a geometry-optimized RhSeBr2 structure, as listed in Alexandria via LeMat-Bulk.

Summary:
polymorph energy (0 for the lowest one) = 851.0 meV/atom
raw formation energy = 0.6475 eV/atom
E = -13.14 eV/cell

Cell lengths 4.734, 4.734, 4.734 Å; angles 60.00, 60.00, 60.00 degrees
Fractional coordinates of all 4 atoms:
Rh 0.000 0.000 0.000
Se 0.250 0.250 0.250
Br 0.500 0.500 0.500
Br 0.750 0.750 0.750

***

First-principles (GGA-PBEsol) data for a geometry-optimized ScBe3Cu structure, as listed in Alexandria via LeMat-Bulk.

Summary:
E = -22.06 eV/cell

Cell lengths 4.003, 4.003, 4.003 Å; angles 90.00, 90.00, 90.00 degrees
Fractional coordinates of all 5 atoms:
Sc 0.000 0.000 0.000
Be 0.000 0.500 0.500
Be 0.500 0.000 0.500
Be 0.500 0.500 0.000
Cu 0.500 0.500 0.500

***

First-principles (GGA-PBEsol) data for a geometry-optimized LiTlCr structure, as listed in Alexandria via LeMat-Bulk.

Summary:
polymorph energy (0 for the lowest one) = 0.0 meV/atom
E = -13.71 eV/cell

Cell lengths 5.146, 5.146, 5.146 Å; angles 140.64, 140.64, 56.89 degrees
Fractional coordinates of all 3 atoms:
Li 0.000 0.000 0.000
Tl 0.663 0.663 0.000
Cr 0.338 0.338 0.000

***

First-principles (GGA-PBEsol) data for a geometry-optimized Te3Pt structure, as listed in Alexandria via LeMat-Bulk.

Summary:
raw formation energy = -0.2093 eV/atom
E = -18.38 eV/cell

Cell lengths 7.682, 7.682, 7.682 Å; angles 30.11, 30.11, 30.11 degrees
Fractional coordinates of all 4 atoms:
Te 0.000 0.000 0.000
Te 0.231 0.231 0.231
Te 0.769 0.769 0.769
Pt 0.500 0.500 0.500

***

First-principles (GGA-PBEsol) data for a geometry-optimized ScWSe structure, as listed in Alexandria via LeMat-Bulk.

Summary:
polymorph energy (0 for the lowest one) = 0.0 meV/atom
raw formation energy = -0.0041 eV/atom
E = -24.28 eV/cell

Cell lengths 6.494, 6.271, 3.023 Å; angles 80.45, 72.22, 27.33 degrees
Fractional coordinates of all 3 atoms:
Sc 0.000 0.000 0.000
W 0.318 0.318 0.682
Se 0.661 0.661 0.339

***

First-principles (GGA-PBEsol) data for a geometry-optimized CdHg2H structure, as listed in Alexandria via LeMat-Bulk.

Summary:
E = -3.84 eV/cell

Cell lengths 4.741, 4.741, 4.741 Å; angles 60.00, 60.00, 60.00 degrees
Fractional coordinates of all 4 atoms:
Cd 0.000 0.000 0.000
Hg 0.250 0.250 0.250
Hg 0.750 0.750 0.750
H 0.500 0.500 0.500

***

First-principles (GGA-PBEsol) data for a geometry-optimized YAsP2 structure, as listed in Alexandria via LeMat-Bulk.

Summary:
E = -23.91 eV/cell

Cell lengths 4.736, 4.736, 4.736 Å; angles 60.00, 60.00, 60.00 degrees
Fractional coordinates of all 4 atoms:
Y 0.000 0.000 0.000
As 0.250 0.250 0.250
P 0.500 0.500 0.500
P 0.750 0.750 0.750

***

First-principles (GGA-PBEsol) data for a geometry-optimized Sr2VClO4 structure, as listed in Alexandria via LeMat-Bulk.

Summary:
raw formation energy = -2.8623 eV/atom
E = -236.88 eV/cell

Cell lengths 6.520, 7.461, 11.417 Å; angles 90.00, 90.00, 90.00 degrees
Fractional coordinates of all 32 atoms:
Sr 0.125 0.250 0.000
Sr 0.125 0.250 0.500
Sr 0.362 0.535 0.250
Sr 0.362 0.965 0.750
Sr 0.638 0.035 0.250
Sr 0.638 0.465 0.750
Sr 0.875 0.750 0.000
Sr 0.875 0.750 0.500
V 0.372 0.750 0.000
V 0.372 0.750 0.500
V 0.628 0.250 0.000
V 0.628 0.250 0.500
Cl 0.009 0.692 0.750
Cl 0.009 0.808 0.250
Cl 0.991 0.192 0.750
Cl 0.991 0.308 0.250
O 0.215 0.573 0.030
O 0.215 0.573 0.470
O 0.215 0.927 0.530
O 0.215 0.927 0.970
O 0.471 0.225 0.620
O 0.471 0.225 0.880
O 0.471 0.275 0.120
O 0.471 0.275 0.380
O 0.529 0.725 0.620
O 0.529 0.725 0.880
O 0.529 0.775 0.120
O 0.529 0.775 0.380
O 0.785 0.073 0.030
O 0.785 0.073 0.470
O 0.785 0.427 0.530
O 0.785 0.427 0.970

***

First-principles (GGA-PBEsol) data for a geometry-optimized Be2ZnRh structure, as listed in Alexandria via LeMat-Bulk.

Summary:
E = -34.77 eV/cell

Cell lengths 4.980, 4.980, 4.980 Å; angles 104.24, 104.24, 120.54 degrees
Fractional coordinates of all 8 atoms:
Be 0.120 0.625 0.995
Be 0.375 0.370 0.495
Be 0.630 0.125 0.005
Be 0.875 0.880 0.505
Zn 0.250 0.750 0.500
Zn 0.500 0.500 0.000
Rh 0.000 0.000 0.000
Rh 0.750 0.250 0.500